No. 1
## Rb2CaIrO6 (GGA-PBE)

Data for a relaxed structure of Rb2CaIrO6.

Properties
Total magnetization   0.00 Bohr magnetons per cell
Uncorrected formation energy   -1402 meV/atom
Density of states at the Fermi level   20.29 states/eV per cell
E   -5.66 eV/atom

Cell lengths 8.5061, 8.5061, 8.5061 Å; angles 90.00, 90.00, 90.00 degrees
Space group Fm-3m (No. 225)
Unique sites:
Rb 0.2500 0.2500 0.2500
Ca 0.0000 0.0000 0.0000
Ir 0.0000 0.0000 0.5000
O 0.0000 0.0000 0.2769

---

No. 2
## Na2Cd2Pb3 (GGA-PBE)

Data for a relaxed structure of Na2Cd2Pb3.

Properties
Total magnetization   0.00 Bohr magnetons per cell
Formation enthalpy at 0 K   -88 meV per atom
Density of states at the Fermi level   5.50 states/eV per cell
E   -2.32 eV/atom

Cell lengths 10.5978, 4.7757, 7.7309 Å; angles 90.00, 98.28, 90.00 degrees
Space group C2/m (No. 12)
Unique sites:
Na 0.0699 0.0000 0.2261
Cd 0.2183 0.0000 0.6357
Pb 0.0000 0.5000 0.5000
Pb 0.1492 0.5000 0.9315

---

No. 3
## Zr6C3O (GGA-PBE)

Data for a relaxed structure of Zr6C3O.

Properties
Total magnetization   0.00 Bohr magnetons per cell
Uncorrected formation energy   -789 meV/atom
Density of states at the Fermi level   11.74 states/eV per cell
E   -9.18 eV/atom

Cell lengths 10.6460, 6.5857, 5.1102 Å; angles 90.00, 116.92, 90.00 degrees
Space group C2/m (No. 12)
Unique sites:
Zr 0.0876 0.2489 0.3378
Zr 0.2351 0.5000 0.9968
C 0.0000 0.5000 0.0000
C 0.2468 0.5000 0.5403
O 0.0000 0.0000 0.5000

---

No. 4
## Ca2Ac3YTe6 (GGA-PBE)

Data for a relaxed structure of Ca2Ac3YTe6.

Properties
Total magnetization   0.00 Bohr magnetons per cell
Uncorrected formation energy   -1492 meV/atom
Density of states at the Fermi level   12.56 states/eV per cell
E   -4.96 eV/atom

Cell lengths 7.8789, 13.6598, 8.0934 Å; angles 90.00, 108.98, 90.00 degrees
Space group C2/m (No. 12)
Unique sites:
Ca 0.0000 0.1660 0.0000
Ac 0.0000 0.0000 0.5000
Ac 0.0000 0.3292 0.5000
Y 0.0000 0.5000 0.0000
Te 0.2401 0.3351 0.2256
Te 0.2479 0.0000 0.2322

---

No. 5
## SmDyTlTe (GGA-PBE)

Data for a relaxed structure of SmDyTlTe.

Properties
Total magnetization   0.00 Bohr magnetons per cell
Uncorrected formation energy   -801 meV/atom
Density of states at the Fermi level   3.36 states/eV per cell
E   -4.51 eV/atom

Cell lengths 4.4210, 4.4210, 6.2713 Å; angles 90.00, 90.00, 90.00 degrees
Space group P4/mmm (No. 123)
Unique sites:
Sm 0.0000 0.0000 0.0000
Dy 0.5000 0.5000 0.5000
Tl 0.5000 0.5000 0.0000
Te 0.0000 0.0000 0.5000

---

No. 6
## NaTl2CoSn (GGA-PBE)

Data for a relaxed structure of NaTl2CoSn.

Properties
Total magnetization   0.22 Bohr magnetons per cell
Formation enthalpy at 0 K   77 meV per atom
Density of states at the Fermi level   3.72 states/eV per cell
E   -3.36 eV/atom

Cell lengths 5.1349, 5.1349, 4.9488 Å; angles 90.00, 90.00, 90.00 degrees
Space group P4/mmm (No. 123)
Unique sites:
Na 0.0000 0.0000 0.0000
Tl 0.0000 0.5000 0.5000
Co 0.5000 0.5000 0.5000
Sn 0.5000 0.5000 0.0000

---

Q: The highest E belongs to which entry?
A: Na2Cd2Pb3

---

Copy entry 2 word for word.
## Na2Cd2Pb3 (GGA-PBE)

Data for a relaxed structure of Na2Cd2Pb3.

Properties
Total magnetization   0.00 Bohr magnetons per cell
Formation enthalpy at 0 K   -88 meV per atom
Density of states at the Fermi level   5.50 states/eV per cell
E   -2.32 eV/atom

Cell lengths 10.5978, 4.7757, 7.7309 Å; angles 90.00, 98.28, 90.00 degrees
Space group C2/m (No. 12)
Unique sites:
Na 0.0699 0.0000 0.2261
Cd 0.2183 0.0000 0.6357
Pb 0.0000 0.5000 0.5000
Pb 0.1492 0.5000 0.9315

---

Q: Among the records above, which one has the highest density of states at the Fermi level?
A: Rb2CaIrO6